# SbPdC3

An optimized crystal structure of SbPdC3 (GGA-PBE, the Alexandria database).

Computed properties:
Crystal system: cubic
Energy relative to the elements, uncorrected (meV/atom): 2914.6
Space-group type: Pm-3m (221)
Final energy (eV per atom): -4.483
Relative energy among the computed polymorphs (meV/atom): 385

Lattice parameters (Å, degrees): 4.211 4.211 4.211 90.00 90.00 90.00
Sites, in units of the cell vectors:
Sb 0.000 0.000 0.000
Pd 0.500 0.500 0.500
C 0.500 0.000 0.000
C 0.000 0.500 0.000
C 0.000 0.000 0.500